# NiTeI2O | the Alexandria database | PBEsol | relaxed
# calculated total energy	-3.211	eV/atom
data_NiTeI2O
_symmetry_space_group_name_H-M 'P 1'
_symmetry_Int_Tables_number 1
_cell_length_a 5.878
_cell_length_b 5.878
_cell_length_c 3.980
_cell_angle_alpha 90.00
_cell_angle_beta 90.00
_cell_angle_gamma 90.00
loop_
_symmetry_equiv_pos_as_xyz
'x,y,z'
loop_
_atom_site_label
_atom_site_fract_x
_atom_site_fract_y
_atom_site_fract_z
_atom_site_occupancy
Ni1 0.000 0.000 0.000 1
Te1 0.500 0.500 0.500 1
I1 0.000 0.500 0.500 1
I2 0.500 0.000 0.500 1
O1 0.500 0.500 0.000 1